Entry 1:
# HfNb3, optimized geometry, DFT PBE
# Offset from the most stable computed form, eV/atom: 0.000
# Mass density, Mg/m³: 9.899
# E_form, eV per atom: 0.03
# VASP energy, eV/atom: -10.014
data_HfNb3
_chemical_formula_sum 'Hf4 Nb12'
_cell_length_a 6.842
_cell_length_b 9.541
_cell_length_c 4.700
_cell_angle_alpha 90.00
_cell_angle_beta 90.00
_cell_angle_gamma 90.00
_space_group_name_H-M_alt 'C m c m'
_space_group_IT_number 63
_space_group_name_Hall '-C 2c 2'
loop_
_atom_site_label
_atom_site_type_symbol
_atom_site_fract_x
_atom_site_fract_y
_atom_site_fract_z
Hf1 Hf 0.000 0.115 0.250
Nb1 Nb 0.000 0.369 0.750
Nb2 Nb 0.229 0.376 0.250



Entry 2:
# Cd5In3Hg2, optimized geometry, DFT PBE
# Offset from the most stable computed form, eV/atom: 0.000
# Mass density, Mg/m³: 8.238
# E_form, eV per atom: 0.06
# VASP energy, eV/atom: -1.275
data_Cd5In3Hg2
_chemical_formula_sum 'Cd20 In12 Hg8'
_cell_length_a 11.970
_cell_length_b 14.455
_cell_length_c 6.094
_cell_angle_alpha 90.00
_cell_angle_beta 90.00
_cell_angle_gamma 90.00
_space_group_name_H-M_alt 'I b a m'
_space_group_IT_number 72
_space_group_name_Hall '-I 2 2c'
loop_
_atom_site_label
_atom_site_type_symbol
_atom_site_fract_x
_atom_site_fract_y
_atom_site_fract_z
Cd1 Cd 0.000 0.000 0.250
Cd2 Cd 0.221 0.326 0.000
Cd3 Cd 0.242 0.000 0.250
In1 In 0.000 0.500 0.250
In2 In 0.049 0.180 0.000
Hg1 Hg 0.126 0.335 0.500



Entry 3:
# Pa2FeGe, optimized geometry, DFT PBE
# Offset from the most stable computed form, eV/atom: 0.290
# Mass density, Mg/m³: 11.684
# E_form, eV per atom: -0.10
# VASP energy, eV/atom: -8.117
data_Pa2FeGe
_chemical_formula_sum 'Pa6 Fe3 Ge3'
_cell_length_a 4.3399
_cell_length_b 4.3399
_cell_length_c 15.4370
_cell_angle_alpha 90.00
_cell_angle_beta 90.00
_cell_angle_gamma 120.00
_space_group_name_H-M_alt 'R -3 m'
_space_group_IT_number 166
_space_group_name_Hall '-R 3 2"'
loop_
_atom_site_label
_atom_site_type_symbol
_atom_site_fract_x
_atom_site_fract_y
_atom_site_fract_z
Pa1 Pa 0.0000 0.0000 0.2371
Fe1 Fe 0.0000 0.0000 0.5000
Ge1 Ge 0.0000 0.0000 0.0000



Entry 4:
# Ca3Ho4Te8, optimized geometry, DFT PBE
# Mass density, Mg/m³: 6.219
# VASP energy, eV/atom: -4.760
data_Ca3Ho4Te8
_chemical_formula_sum 'Ca6 Ho8 Te16'
_cell_length_a 12.399
_cell_length_b 12.437
_cell_length_c 8.746
_cell_angle_alpha 90.00
_cell_angle_beta 134.52
_cell_angle_gamma 90.00
_space_group_name_H-M_alt 'C 1 2/m 1'
_space_group_IT_number 12
loop_
_space_group_symop_operation_xyz
'x,y,z'
'-x,-y,-z'
'-x,y,-z'
'x,-y,z'
'x+1/2,y+1/2,z'
'-x+1/2,-y+1/2,-z'
'-x+1/2,y+1/2,-z'
'x+1/2,-y+1/2,z'
loop_
_atom_site_label
_atom_site_type_symbol
_atom_site_fract_x
_atom_site_fract_y
_atom_site_fract_z
Ca1 Ca 0.000 0.000 0.000
Ca2 Ca 0.250 0.250 0.000
Ho1 Ho 0.000 0.500 0.000
Ho2 Ho 0.000 0.500 0.500
Ho3 Ho 0.250 0.250 0.500
Te1 Te 0.000 0.250 0.500
Te2 Te 0.000 0.252 0.000
Te3 Te 0.245 0.500 0.996
Te4 Te 0.250 0.000 0.505



Entry 5:
# LaAgPt4, optimized geometry, DFT PBE
# Mass density, Mg/m³: 15.048
# E_form, eV per atom: -0.73
# VASP energy, eV/atom: -6.054
data_LaAgPt4
_chemical_formula_sum 'La4 Ag4 Pt16'
_cell_length_a 7.682
_cell_length_b 7.682
_cell_length_c 7.682
_cell_angle_alpha 90.00
_cell_angle_beta 90.00
_cell_angle_gamma 90.00
_space_group_name_H-M_alt 'F -4 3 m'
_space_group_IT_number 216
_space_group_name_Hall 'F -4 2 3'
loop_
_atom_site_label
_atom_site_type_symbol
_atom_site_fract_x
_atom_site_fract_y
_atom_site_fract_z
La1 La 0.000 0.000 0.000
Ag1 Ag 0.250 0.250 0.250
Pt1 Pt 0.124 0.124 0.624



Entry 6:
# TbCeRu, optimized geometry, DFT PBE
# Offset from the most stable computed form, eV/atom: 0.071
# Mass density, Mg/m³: 8.413
# E_form, eV per atom: -0.18
# VASP energy, eV/atom: -6.798
data_TbCeRu
_chemical_formula_sum 'Tb4 Ce4 Ru4'
_cell_length_a 6.517
_cell_length_b 7.417
_cell_length_c 7.143
_cell_angle_alpha 90.00
_cell_angle_beta 113.82
_cell_angle_gamma 90.00
_space_group_name_H-M_alt 'P 1 21/c 1'
_space_group_IT_number 14
loop_
_space_group_symop_operation_xyz
'x,y,z'
'-x,-y,-z'
'-x,y+1/2,-z+1/2'
'x,-y+1/2,z+1/2'
loop_
_atom_site_label
_atom_site_type_symbol
_atom_site_fract_x
_atom_site_fract_y
_atom_site_fract_z
Tb1 Tb 0.223 0.167 0.063
Ce1 Ce 0.276 0.667 0.959
Ru1 Ru 0.075 0.574 0.216



Entry 7:
# Ba8TlSn2, optimized geometry, DFT PBE
# Offset from the most stable computed form, eV/atom: 0.055
# Mass density, Mg/m³: 5.184
# E_form, eV per atom: -0.32
# VASP energy, eV/atom: -2.660
data_Ba8TlSn2
_chemical_formula_sum 'Ba16 Tl2 Sn4'
_cell_length_a 5.837
_cell_length_b 9.889
_cell_length_c 17.097
_cell_angle_alpha 90.00
_cell_angle_beta 90.00
_cell_angle_gamma 90.00
_space_group_name_H-M_alt 'I m m m'
_space_group_IT_number 71
_space_group_name_Hall '-I 2 2'
loop_
_atom_site_label
_atom_site_type_symbol
_atom_site_fract_x
_atom_site_fract_y
_atom_site_fract_z
Ba1 Ba 0.000 0.000 0.140
Ba2 Ba 0.000 0.220 0.344
Ba3 Ba 0.000 0.329 0.000
Tl1 Tl 0.000 0.500 0.500
Sn1 Sn 0.000 0.500 0.196



Entry 8:
# Gd3CuC, optimized geometry, DFT PBE
# Mass density, Mg/m³: 7.684
# E_form, eV per atom: -0.07
# VASP energy, eV/atom: -11.187
data_Gd3CuC
_chemical_formula_sum 'Gd3 Cu1 C1'
_cell_length_a 4.909
_cell_length_b 4.909
_cell_length_c 4.909
_cell_angle_alpha 90.00
_cell_angle_beta 90.00
_cell_angle_gamma 90.00
_space_group_name_H-M_alt 'P m -3 m'
_space_group_IT_number 221
_space_group_name_Hall '-P 4 2 3'
loop_
_atom_site_label
_atom_site_type_symbol
_atom_site_fract_x
_atom_site_fract_y
_atom_site_fract_z
Gd1 Gd 0.000 0.000 0.500
Cu1 Cu 0.500 0.500 0.500
C1 C 0.000 0.000 0.000



Entry 9:
# TmPaAl2, optimized geometry, DFT PBE
# Offset from the most stable computed form, eV/atom: 0.000
# Mass density, Mg/m³: 8.554
# E_form, eV per atom: -0.25
# VASP energy, eV/atom: -5.609
data_TmPaAl2
_chemical_formula_sum 'Tm1 Pa1 Al2'
_cell_length_a 3.229
_cell_length_b 3.229
_cell_length_c 8.450
_cell_angle_alpha 90.00
_cell_angle_beta 90.00
_cell_angle_gamma 90.00
_space_group_name_H-M_alt 'P 4/m m m'
_space_group_IT_number 123
_space_group_name_Hall '-P 4 2'
loop_
_atom_site_label
_atom_site_type_symbol
_atom_site_fract_x
_atom_site_fract_y
_atom_site_fract_z
Tm1 Tm 0.000 0.000 0.000
Pa1 Pa 0.000 0.000 0.500
Al1 Al 0.500 0.500 0.248



Entry 10:
# PrHo2Cl, optimized geometry, DFT PBE
# Mass density, Mg/m³: 7.292
# VASP energy, eV/atom: -4.329
data_PrHo2Cl
_chemical_formula_sum 'Pr3 Ho6 Cl3'
_cell_length_a 3.4475
_cell_length_b 3.4475
_cell_length_c 33.5999
_cell_angle_alpha 90.00
_cell_angle_beta 90.00
_cell_angle_gamma 120.00
_space_group_name_H-M_alt 'R -3 m'
_space_group_IT_number 166
_space_group_name_Hall '-R 3 2"'
loop_
_atom_site_label
_atom_site_type_symbol
_atom_site_fract_x
_atom_site_fract_y
_atom_site_fract_z
Pr1 Pr 0.0000 0.0000 0.0000
Ho1 Ho 0.0000 0.0000 0.1012
Cl1 Cl 0.0000 0.0000 0.5000



Entry 11:
# La2MgAlO, optimized geometry, DFT PBE
# Mass density, Mg/m³: 5.033
# VASP energy, eV/atom: -5.258
data_La2MgAlO
_chemical_formula_sum 'La2 Mg1 Al1 O1'
_cell_length_a 5.120
_cell_length_b 5.120
_cell_length_c 4.343
_cell_angle_alpha 90.00
_cell_angle_beta 90.00
_cell_angle_gamma 90.00
_space_group_name_H-M_alt 'P 4/m m m'
_space_group_IT_number 123
_space_group_name_Hall '-P 4 2'
loop_
_atom_site_label
_atom_site_type_symbol
_atom_site_fract_x
_atom_site_fract_y
_atom_site_fract_z
La1 La 0.000 0.500 0.000
Mg1 Mg 0.000 0.000 0.500
Al1 Al 0.500 0.500 0.500
O1 O 0.000 0.000 0.000



Entry 12:
# Cu3Ag2Au3, optimized geometry, DFT PBE
# Mass density, Mg/m³: 13.063
# E_form, eV per atom: 0.00
# VASP energy, eV/atom: -3.482
data_Cu3Ag2Au3
_chemical_formula_sum 'Cu6 Ag4 Au6'
_cell_length_a 3.755
_cell_length_b 4.099
_cell_length_c 16.471
_cell_angle_alpha 90.00
_cell_angle_beta 90.00
_cell_angle_gamma 90.00
_space_group_name_H-M_alt 'I m m m'
_space_group_IT_number 71
_space_group_name_Hall '-I 2 2'
loop_
_atom_site_label
_atom_site_type_symbol
_atom_site_fract_x
_atom_site_fract_y
_atom_site_fract_z
Cu1 Cu 0.000 0.000 0.000
Cu2 Cu 0.000 0.500 0.120
Ag1 Ag 0.000 0.000 0.254
Au1 Au 0.000 0.000 0.500
Au2 Au 0.000 0.500 0.379



Entry 13:
# CaHo2PtO5, optimized geometry, DFT PBE
# Mass density, Mg/m³: 8.825
# VASP energy, eV/atom: -7.287
data_CaHo2PtO5
_chemical_formula_sum 'Ca2 Ho4 Pt2 O10'
_cell_length_a 6.444
_cell_length_b 6.444
_cell_length_c 5.845
_cell_angle_alpha 90.00
_cell_angle_beta 90.00
_cell_angle_gamma 90.00
_space_group_name_H-M_alt 'P 4/m b m'
_space_group_IT_number 127
_space_group_name_Hall '-P 4 2ab'
loop_
_atom_site_label
_atom_site_type_symbol
_atom_site_fract_x
_atom_site_fract_y
_atom_site_fract_z
Ca1 Ca 0.000 0.000 0.000
Ho1 Ho 0.174 0.326 0.500
Pt1 Pt 0.000 0.500 0.000
O1 O 0.000 0.000 0.500
O2 O 0.145 0.645 0.257



Entry 14:
# AlSe4, optimized geometry, DFT PBE
# Offset from the most stable computed form, eV/atom: 0.121
# Mass density, Mg/m³: 4.272
# VASP energy, eV/atom: -3.345
data_AlSe4
_chemical_formula_sum 'Al2 Se8'
_cell_length_a 5.690
_cell_length_b 5.690
_cell_length_c 8.231
_cell_angle_alpha 90.00
_cell_angle_beta 90.00
_cell_angle_gamma 90.00
_space_group_name_H-M_alt 'I 4/m m m'
_space_group_IT_number 139
_space_group_name_Hall '-I 4 2'
loop_
_atom_site_label
_atom_site_type_symbol
_atom_site_fract_x
_atom_site_fract_y
_atom_site_fract_z
Al1 Al 0.000 0.000 0.000
Se1 Se 0.000 0.000 0.279
Se2 Se 0.000 0.500 0.250



Entry 15:
# PuNi2B, optimized geometry, DFT PBE
# Offset from the most stable computed form, eV/atom: 0.000
# Mass density, Mg/m³: 11.570
# E_form, eV per atom: -0.22
# VASP energy, eV/atom: -8.363
data_PuNi2B
_chemical_formula_sum 'Pu4 Ni8 B4'
_cell_length_a 3.387
_cell_length_b 10.092
_cell_length_c 6.251
_cell_angle_alpha 90.00
_cell_angle_beta 90.00
_cell_angle_gamma 90.00
_space_group_name_H-M_alt 'C m c m'
_space_group_IT_number 63
_space_group_name_Hall '-C 2c 2'
loop_
_atom_site_label
_atom_site_type_symbol
_atom_site_fract_x
_atom_site_fract_y
_atom_site_fract_z
Pu1 Pu 0.000 0.051 0.250
Ni1 Ni 0.000 0.326 0.061
B1 B 0.000 0.226 0.750



Entry 16:
# MnIn2BiSe6, optimized geometry, DFT PBE
# Mass density, Mg/m³: 5.734
# VASP energy, eV/atom: -4.349
data_MnIn2BiSe6
_chemical_formula_sum 'Mn4 In8 Bi4 Se24'
_cell_length_a 12.951
_cell_length_b 12.401
_cell_length_c 7.102
_cell_angle_alpha 90.00
_cell_angle_beta 100.77
_cell_angle_gamma 90.00
_space_group_name_H-M_alt 'C 1 2/c 1'
_space_group_IT_number 15
loop_
_space_group_symop_operation_xyz
'x,y,z'
'-x,-y,-z'
'-x,y,-z+1/2'
'x,-y,z+1/2'
'x+1/2,y+1/2,z'
'-x+1/2,-y+1/2,-z'
'-x+1/2,y+1/2,-z+1/2'
'x+1/2,-y+1/2,z+1/2'
loop_
_atom_site_label
_atom_site_type_symbol
_atom_site_fract_x
_atom_site_fract_y
_atom_site_fract_z
Mn1 Mn 0.000 0.238 0.250
In1 In 0.171 0.088 0.790
Bi1 Bi 0.000 0.405 0.750
Se1 Se 0.116 0.398 0.148
Se2 Se 0.123 0.256 0.568
Se3 Se 0.135 0.105 0.142



Entry 17:
# TcSb6Ru, optimized geometry, DFT PBE
# Mass density, Mg/m³: 7.342
# VASP energy, eV/atom: -5.558
data_TcSb6Ru
_chemical_formula_sum 'Tc4 Sb24 Ru4'
_cell_length_a 13.315
_cell_length_b 9.448
_cell_length_c 9.432
_cell_angle_alpha 90.00
_cell_angle_beta 134.86
_cell_angle_gamma 90.00
_space_group_name_H-M_alt 'C 1 2/m 1'
_space_group_IT_number 12
loop_
_space_group_symop_operation_xyz
'x,y,z'
'-x,-y,-z'
'-x,y,-z'
'x,-y,z'
'x+1/2,y+1/2,z'
'-x+1/2,-y+1/2,-z'
'-x+1/2,y+1/2,-z'
'x+1/2,-y+1/2,z'
loop_
_atom_site_label
_atom_site_type_symbol
_atom_site_fract_x
_atom_site_fract_y
_atom_site_fract_z
Tc1 Tc 0.250 0.250 0.000
Sb1 Sb 0.001 0.157 0.339
Sb2 Sb 0.157 0.337 0.158
Sb3 Sb 0.160 0.500 0.816
Sb4 Sb 0.165 0.500 0.508
Ru1 Ru 0.250 0.250 0.500



Entry 18:
# YPu2Cu2Si2, optimized geometry, DFT PBE
# Mass density, Mg/m³: 10.474
# VASP energy, eV/atom: -8.092
data_YPu2Cu2Si2
_chemical_formula_sum 'Y3 Pu6 Cu6 Si6'
_cell_length_a 3.9604
_cell_length_b 3.9604
_cell_length_c 26.6181
_cell_angle_alpha 90.00
_cell_angle_beta 90.00
_cell_angle_gamma 120.00
_space_group_name_H-M_alt 'R -3 m'
_space_group_IT_number 166
_space_group_name_Hall '-R 3 2"'
loop_
_atom_site_label
_atom_site_type_symbol
_atom_site_fract_x
_atom_site_fract_y
_atom_site_fract_z
Y1 Y 0.0000 0.0000 0.0000
Pu1 Pu 0.0000 0.0000 0.1499
Cu1 Cu 0.0000 0.0000 0.4082
Si1 Si 0.0000 0.0000 0.2576



Entry 19:
# CaLa3Tc, optimized geometry, DFT PBE
# Offset from the most stable computed form, eV/atom: 1.077
# Mass density, Mg/m³: 5.147
# E_form, eV per atom: 1.06
# VASP energy, eV/atom: -4.369
data_CaLa3Tc
_chemical_formula_sum 'Ca2 La6 Tc2'
_cell_length_a 4.8181
_cell_length_b 4.8181
_cell_length_c 17.8067
_cell_angle_alpha 90.00
_cell_angle_beta 90.00
_cell_angle_gamma 120.00
_space_group_name_H-M_alt 'P 63/m m c'
_space_group_IT_number 194
_space_group_name_Hall '-P 6c 2c'
loop_
_atom_site_label
_atom_site_type_symbol
_atom_site_fract_x
_atom_site_fract_y
_atom_site_fract_z
Ca1 Ca 0.3333 0.6667 0.2500
La1 La 0.0000 0.0000 0.2500
La2 La 0.3333 0.6667 0.0625
Tc1 Tc 0.0000 0.0000 0.0000



Entry 20:
# Mg2Be2Al, optimized geometry, DFT PBE
# Offset from the most stable computed form, eV/atom: 0.301
# Mass density, Mg/m³: 1.892
# E_form, eV per atom: 0.49
# VASP energy, eV/atom: -2.383
data_Mg2Be2Al
_chemical_formula_sum 'Mg4 Be4 Al2'
_cell_length_a 3.772
_cell_length_b 3.772
_cell_length_c 11.548
_cell_angle_alpha 90.00
_cell_angle_beta 90.00
_cell_angle_gamma 90.00
_space_group_name_H-M_alt 'I 4/m m m'
_space_group_IT_number 139
_space_group_name_Hall '-I 4 2'
loop_
_atom_site_label
_atom_site_type_symbol
_atom_site_fract_x
_atom_site_fract_y
_atom_site_fract_z
Mg1 Mg 0.000 0.500 0.250
Be1 Be 0.000 0.000 0.088
Al1 Al 0.000 0.000 0.500